[1]
The following is a GGA-PBE calculation of crystalline Mg2Zn2W at its relaxed geometry, from Alexandria via LeMat-Bulk.

Unit cell a=3.232 b=3.232 c=18.009 alpha=90.00 beta=90.00 gamma=90.00
Sites, in units of the cell vectors:
Mg 0.000 0.000 0.105
Mg 0.000 0.000 0.895
Mg 0.500 0.500 0.395
Mg 0.500 0.500 0.605
Zn 0.000 0.500 0.250
Zn 0.000 0.500 0.750
Zn 0.500 0.000 0.250
Zn 0.500 0.000 0.750
W 0.000 0.000 0.500
W 0.500 0.500 0.000

Output
The value obtained for the total energy is -31.399 eV per cell. As for the symmetry: No. 139. The formation energy is 2.991 eV per formula unit. The value obtained for the total moment is 0.0 μB per cell. The value obtained for the relative energy among the computed polymorphs is 0.184 eV per atom.

***

[2]
The following is a GGA-PBE calculation of crystalline MgZnW2 at its relaxed geometry, from Alexandria via LeMat-Bulk.

Unit cell a=2.715 b=2.715 c=8.872 alpha=90.00 beta=90.00 gamma=90.00
Sites, in units of the cell vectors:
Mg 0.000 0.000 0.000
Zn 0.500 0.500 0.750
W 0.000 0.000 0.518
W 0.500 0.500 0.258

Output
The value obtained for the total energy is -27.449 eV per cell. As for the symmetry: No. 99. The formation energy is 1.326 eV per formula unit. The value obtained for the total moment is 0.0 μB per cell. The value obtained for the relative energy among the computed polymorphs is 0.128 eV per atom.

***

[3]
The following is a GGA-PBE calculation of crystalline MgZnW2 at its relaxed geometry, from Alexandria via LeMat-Bulk.

Unit cell a=2.834 b=2.834 c=28.366 alpha=90.00 beta=90.00 gamma=120.00
Sites, in units of the cell vectors:
Mg 0.000 0.000 0.000
Mg 0.333 0.667 0.667
Mg 0.667 0.333 0.333
Zn 0.000 0.000 0.500
Zn 0.333 0.667 0.167
Zn 0.667 0.333 0.833
W 0.000 0.000 0.247
W 0.000 0.000 0.753
W 0.333 0.667 0.420
W 0.333 0.667 0.913
W 0.667 0.333 0.087
W 0.667 0.333 0.580

Output
The value obtained for the total energy is -80.589 eV per cell. As for the symmetry: No. 166. The formation energy is 1.912 eV per formula unit. The value obtained for the total moment is 0.0 μB per cell. The value obtained for the relative energy among the computed polymorphs is 0.275 eV per atom.

***

[4]
The following is a GGA-PBE calculation of crystalline MgZnW2 at its relaxed geometry, from Alexandria via LeMat-Bulk.

Unit cell a=2.746 b=4.450 c=5.385 alpha=90.00 beta=98.67 gamma=90.00
Sites, in units of the cell vectors:
Mg 0.000 0.000 0.000
Zn 0.116 0.500 0.753
W 0.466 0.000 0.494
W 0.663 0.500 0.263

Output
The value obtained for the total energy is -27.630 eV per cell. As for the symmetry: No. 6. The formation energy is 1.145 eV per formula unit. The value obtained for the total moment is 0.0 μB per cell. The value obtained for the relative energy among the computed polymorphs is 0.083 eV per atom.

***

[5]
The following is a GGA-PBE calculation of crystalline MgZnW2 at its relaxed geometry, from Alexandria via LeMat-Bulk.

Unit cell a=2.696 b=4.255 c=5.748 alpha=90.00 beta=90.00 gamma=90.00
Sites, in units of the cell vectors:
Mg 0.000 0.000 0.000
Zn 0.500 0.500 0.771
W 0.000 0.000 0.499
W 0.500 0.500 0.282

Output
The value obtained for the total energy is -27.215 eV per cell. As for the symmetry: No. 25. The formation energy is 1.560 eV per formula unit. The value obtained for the total moment is 0.0 μB per cell. The value obtained for the relative energy among the computed polymorphs is 0.187 eV per atom.

***

[6]
The following is a GGA-PBE calculation of crystalline MgZnW2 at its relaxed geometry, from Alexandria via LeMat-Bulk.

Unit cell a=3.293 b=4.271 c=4.574 alpha=90.00 beta=90.00 gamma=90.00
Sites, in units of the cell vectors:
Mg 0.000 0.000 0.000
Zn 0.500 0.500 0.000
W 0.000 0.500 0.500
W 0.500 0.000 0.500

Output
The value obtained for the total energy is -27.393 eV per cell. As for the symmetry: No. 47. The formation energy is 1.382 eV per formula unit. The value obtained for the total moment is 0.0 μB per cell. The value obtained for the relative energy among the computed polymorphs is 0.142 eV per atom.

***

[7]
The following is a GGA-PBE calculation of crystalline Mg3ZnW at its relaxed geometry, from Alexandria via LeMat-Bulk.

Unit cell a=5.364 b=5.364 c=5.364 alpha=90.00 beta=90.00 gamma=90.00
Sites, in units of the cell vectors:
Mg 0.000 0.000 0.500
Mg 0.000 0.500 0.000
Mg 0.500 0.000 0.000
Zn 0.500 0.500 0.500
W 0.000 0.000 0.000

Output
The value obtained for the total energy is -12.317 eV per cell. As for the symmetry: No. 221. The formation energy is 6.694 eV per formula unit. The value obtained for the total moment is 3.5 μB per cell. The value obtained for the relative energy among the computed polymorphs is 0.158 eV per atom.

***

[8]
The following is a GGA-PBE calculation of crystalline MgZnW2 at its relaxed geometry, from Alexandria via LeMat-Bulk.

Unit cell a=3.301 b=4.257 c=9.199 alpha=90.00 beta=90.00 gamma=90.00
Sites, in units of the cell vectors:
Mg 0.000 0.000 0.000
Mg 0.500 0.500 0.500
Zn 0.000 0.000 0.500
Zn 0.500 0.500 0.000
W 0.000 0.500 0.243
W 0.000 0.500 0.757
W 0.500 0.000 0.257
W 0.500 0.000 0.743

Output
The value obtained for the total energy is -54.827 eV per cell. As for the symmetry: No. 71. The formation energy is 1.361 eV per formula unit. The value obtained for the total moment is 0.0 μB per cell. The value obtained for the relative energy among the computed polymorphs is 0.137 eV per atom.

***

[9]
The following is a GGA-PBE calculation of crystalline MgZnW2 at its relaxed geometry, from Alexandria via LeMat-Bulk.

Unit cell a=3.363 b=3.363 c=5.877 alpha=90.00 beta=90.00 gamma=90.00
Sites, in units of the cell vectors:
Mg 0.000 0.000 0.000
Zn 0.000 0.000 0.500
W 0.500 0.500 0.294
W 0.500 0.500 0.706

Output
The value obtained for the total energy is -26.228 eV per cell. As for the symmetry: No. 123. The formation energy is 2.547 eV per formula unit. The value obtained for the total moment is 0.0 μB per cell. The value obtained for the relative energy among the computed polymorphs is 0.433 eV per atom.

***

[10]
The following is a GGA-PBE calculation of crystalline MgZnW2 at its relaxed geometry, from Alexandria via LeMat-Bulk.

Unit cell a=2.705 b=2.705 c=8.831 alpha=90.00 beta=90.00 gamma=90.00
Sites, in units of the cell vectors:
Mg 0.000 0.000 0.000
Zn 0.000 0.000 0.500
W 0.500 0.500 0.263
W 0.500 0.500 0.737

Output
The value obtained for the total energy is -27.224 eV per cell. As for the symmetry: No. 123. The formation energy is 1.551 eV per formula unit. The value obtained for the total moment is 0.0 μB per cell. The value obtained for the relative energy among the computed polymorphs is 0.184 eV per atom.

***

[11]
The following is a GGA-PBE calculation of crystalline MgZnW2 at its relaxed geometry, from Alexandria via LeMat-Bulk.

Unit cell a=2.695 b=4.468 c=5.369 alpha=90.00 beta=90.00 gamma=90.00
Sites, in units of the cell vectors:
Mg 0.000 0.000 0.000
Zn 0.000 0.000 0.500
W 0.500 0.500 0.247
W 0.500 0.500 0.753

Output
The value obtained for the total energy is -27.174 eV per cell. As for the symmetry: No. 47. The formation energy is 1.600 eV per formula unit. The value obtained for the total moment is 0.0 μB per cell. The value obtained for the relative energy among the computed polymorphs is 0.197 eV per atom.

***

[12]
The following is a GGA-PBE calculation of crystalline MgZnW2 at its relaxed geometry, from Alexandria via LeMat-Bulk.

Unit cell a=3.378 b=4.202 c=9.085 alpha=90.00 beta=90.00 gamma=90.00
Sites, in units of the cell vectors:
Mg 0.000 0.000 0.000
Mg 0.500 0.500 0.000
Zn 0.000 0.000 0.500
Zn 0.500 0.500 0.500
W 0.000 0.500 0.261
W 0.000 0.500 0.739
W 0.500 0.000 0.261
W 0.500 0.000 0.739

Output
The value obtained for the total energy is -54.673 eV per cell. As for the symmetry: No. 65. The formation energy is 1.438 eV per formula unit. The value obtained for the total moment is 0.0 μB per cell. The value obtained for the relative energy among the computed polymorphs is 0.156 eV per atom.

***

[13]
The following is a GGA-PBE calculation of crystalline Mg2Zn2W at its relaxed geometry, from Alexandria via LeMat-Bulk.

Unit cell a=7.557 b=7.557 c=2.849 alpha=90.00 beta=90.00 gamma=90.00
Sites, in units of the cell vectors:
Mg 0.132 0.368 0.000
Mg 0.368 0.868 0.000
Mg 0.632 0.132 0.000
Mg 0.868 0.632 0.000
Zn 0.168 0.668 0.500
Zn 0.332 0.168 0.500
Zn 0.668 0.832 0.500
Zn 0.832 0.332 0.500
W 0.000 0.000 0.000
W 0.500 0.500 0.000

Output
The value obtained for the total energy is -33.240 eV per cell. As for the symmetry: No. 127. The formation energy is 2.070 eV per formula unit. The value obtained for the total moment is 0.0 μB per cell. The value obtained for the relative energy among the computed polymorphs is 0.000 eV per atom.

***

[14]
The following is a GGA-PBE calculation of crystalline MgZnW2 at its relaxed geometry, from Alexandria via LeMat-Bulk.

Unit cell a=5.381 b=8.878 c=2.697 alpha=90.00 beta=90.00 gamma=90.00
Sites, in units of the cell vectors:
Mg 0.000 0.000 0.000
Mg 0.500 0.500 0.000
Zn 0.000 0.500 0.000
Zn 0.500 0.000 0.000
W 0.250 0.250 0.500
W 0.250 0.750 0.500
W 0.750 0.250 0.500
W 0.750 0.750 0.500

Output
The value obtained for the total energy is -54.391 eV per cell. As for the symmetry: No. 65. The formation energy is 1.579 eV per formula unit. The value obtained for the total moment is 0.0 μB per cell. The value obtained for the relative energy among the computed polymorphs is 0.191 eV per atom.

***

[15]
The following is a GGA-PBE calculation of crystalline MgZnW2 at its relaxed geometry, from Alexandria via LeMat-Bulk.

Unit cell a=3.577 b=4.449 c=8.065 alpha=90.00 beta=90.00 gamma=90.00
Sites, in units of the cell vectors:
Mg 0.000 0.000 0.000
Mg 0.500 0.500 0.500
Zn 0.000 0.500 0.738
Zn 0.500 0.000 0.238
W 0.000 0.000 0.496
W 0.000 0.500 0.235
W 0.500 0.000 0.735
W 0.500 0.500 0.996

Output
The value obtained for the total energy is -54.235 eV per cell. As for the symmetry: No. 44. The formation energy is 1.657 eV per formula unit. The value obtained for the total moment is 0.0 μB per cell. The value obtained for the relative energy among the computed polymorphs is 0.211 eV per atom.

***

[16]
The following is a GGA-PBE calculation of crystalline Mg3ZnW at its relaxed geometry, from Alexandria via LeMat-Bulk.

Unit cell a=4.719 b=4.719 c=4.719 alpha=90.00 beta=90.00 gamma=90.00
Sites, in units of the cell vectors:
Mg 0.000 0.000 0.500
Mg 0.000 0.500 0.000
Mg 0.500 0.000 0.000
Zn 0.000 0.000 0.000
W 0.500 0.500 0.500

Output
The value obtained for the total energy is -13.106 eV per cell. As for the symmetry: No. 221. The formation energy is 5.905 eV per formula unit. The value obtained for the total moment is 0.0 μB per cell. The value obtained for the relative energy among the computed polymorphs is 0.000 eV per atom.

***

[17]
The following is a GGA-PBE calculation of crystalline MgZnW2 at its relaxed geometry, from Alexandria via LeMat-Bulk.

Unit cell a=3.222 b=4.466 c=9.145 alpha=90.00 beta=90.00 gamma=90.00
Sites, in units of the cell vectors:
Mg 0.000 0.000 0.000
Mg 0.500 0.500 0.000
Zn 0.000 0.500 0.255
Zn 0.500 0.000 0.255
W 0.000 0.000 0.497
W 0.000 0.500 0.739
W 0.500 0.000 0.739
W 0.500 0.500 0.497

Output
The value obtained for the total energy is -55.923 eV per cell. As for the symmetry: No. 35. The formation energy is 0.814 eV per formula unit. The value obtained for the total moment is 0.0 μB per cell. The value obtained for the relative energy among the computed polymorphs is 0.000 eV per atom.

***

[18]
The following is a GGA-PBE calculation of crystalline MgZnW2 at its relaxed geometry, from Alexandria via LeMat-Bulk.

Unit cell a=5.373 b=9.120 c=2.700 alpha=90.00 beta=103.19 gamma=90.00
Sites, in units of the cell vectors:
Mg 0.000 0.000 0.000
Mg 0.500 0.500 0.000
Zn 0.000 0.500 0.000
Zn 0.500 0.000 0.000
W 0.250 0.250 0.500
W 0.250 0.750 0.500
W 0.750 0.250 0.500
W 0.750 0.750 0.500

Output
The value obtained for the total energy is -54.643 eV per cell. As for the symmetry: No. 12. The formation energy is 1.454 eV per formula unit. The value obtained for the total moment is 0.0 μB per cell. The value obtained for the relative energy among the computed polymorphs is 0.160 eV per atom.

***

[19]
The following is a GGA-PBE calculation of crystalline MgZnW2 at its relaxed geometry, from Alexandria via LeMat-Bulk.

Unit cell a=9.321 b=2.706 c=5.183 alpha=90.00 beta=94.95 gamma=90.00
Sites, in units of the cell vectors:
Mg 0.000 0.000 0.000
Mg 0.500 0.500 0.000
Zn 0.253 0.500 0.224
Zn 0.753 0.000 0.224
W 0.246 0.000 0.716
W 0.492 0.000 0.501
W 0.746 0.500 0.716
W 0.992 0.500 0.501

Output
The value obtained for the total energy is -54.745 eV per cell. As for the symmetry: No. 8. The formation energy is 1.403 eV per formula unit. The value obtained for the total moment is 0.0 μB per cell. The value obtained for the relative energy among the computed polymorphs is 0.147 eV per atom.

***

[20]
The following is a GGA-PBE calculation of crystalline MgZnW2 at its relaxed geometry, from Alexandria via LeMat-Bulk.

Unit cell a=2.703 b=4.583 c=5.377 alpha=90.00 beta=104.44 gamma=90.00
Sites, in units of the cell vectors:
Mg 0.000 0.000 0.000
Zn 0.500 0.000 0.500
W 0.277 0.500 0.751
W 0.723 0.500 0.249

Output
The value obtained for the total energy is -27.339 eV per cell. As for the symmetry: No. 10. The formation energy is 1.436 eV per formula unit. The value obtained for the total moment is 0.0 μB per cell. The value obtained for the relative energy among the computed polymorphs is 0.156 eV per atom.